Model one:
VASP calculation (PBE-GGA) on crystalline CsCu2 at its relaxed geometry.

It has space group Fd-3m (No. 227, origin choice 2), with a = 14.747 Å, b = 14.747 Å, c = 14.747 Å, α = 90.00°, β = 90.00° and γ = 90.00°. The asymmetric unit holds Cs at (0.125, 0.125, 0.125) and Cu at (0.000, 0.000, 0.000).

The density comes out at 1.1 g cm⁻³.

***

Model two:
VASP calculation (PBE-GGA) on crystalline CsCu2 at its relaxed geometry.

It has space group Fd-3m (No. 227, origin choice 2), with a = 8.188 Å, b = 8.188 Å, c = 8.188 Å, α = 90.00°, β = 90.00° and γ = 90.00°. The asymmetric unit holds Cs at (0.125, 0.125, 0.125) and Cu at (0.000, 0.000, 0.500).

The density comes out at 6.3 g cm⁻³.

***

Which one is most stable, and which one is least stable? model two is the most stable of them, while model one is the least stable.

***

Model one:
VASP calculation (PBE-GGA) on crystalline CsDy2CuTe3S at its relaxed geometry.

It has space group Cmcm (No. 63), with a = 4.302 Å, b = 15.386 Å, c = 14.999 Å, α = 90.00°, β = 90.00° and γ = 90.00°. The asymmetric unit holds Cs at (0.000, 0.092, 0.250), Dy at (0.000, 0.368, 0.076), Cu at (0.000, 0.160, 0.750), Te at (0.000, 0.000, 0.000), Te at (0.000, 0.265, 0.611) and S at (0.000, 0.415, 0.250).

The density comes out at 6.3 g cm⁻³.

***

Model two:
VASP calculation (PBE-GGA) on crystalline CsDy2CuTe3S at its relaxed geometry.

It has space group Cmcm (No. 63), with a = 4.250 Å, b = 15.202 Å, c = 15.490 Å, α = 90.00°, β = 90.00° and γ = 90.00°. The asymmetric unit holds Cs at (0.000, 0.122, 0.250), Dy at (0.000, 0.383, 0.059), Cu at (0.000, 0.165, 0.750), Te at (0.000, 0.253, 0.603), Te at (0.000, 0.434, 0.250) and S at (0.000, 0.000, 0.000).

The density comes out at 6.2 g cm⁻³.

***

Which one is most stable, and which one is least stable? model one is the most stable of them, while model two is the least stable.

***

Model one:
VASP calculation (PBE-GGA) on crystalline CsDy2CuTeSe3 at its relaxed geometry.

It has space group Cmcm (No. 63), with a = 4.242 Å, b = 14.823 Å, c = 14.813 Å, α = 90.00°, β = 90.00° and γ = 90.00°. The asymmetric unit holds Cs at (0.000, 0.124, 0.250), Dy at (0.000, 0.367, 0.055), Cu at (0.000, 0.167, 0.750), Te at (0.000, 0.432, 0.250), Se at (0.000, 0.000, 0.000) and Se at (0.000, 0.253, 0.604).

The density comes out at 6.3 g cm⁻³.

***

Model two:
VASP calculation (PBE-GGA) on crystalline CsDy2CuTeSe3 at its relaxed geometry.

It has space group Cmcm (No. 63), with a = 4.254 Å, b = 14.980 Å, c = 14.577 Å, α = 90.00°, β = 90.00° and γ = 90.00°. The asymmetric unit holds Cs at (0.000, 0.104, 0.250), Dy at (0.000, 0.357, 0.067), Cu at (0.000, 0.167, 0.750), Te at (0.000, 0.000, 0.000), Se at (0.000, 0.261, 0.608) and Se at (0.000, 0.418, 0.250).

The density comes out at 6.3 g cm⁻³.

***

Which one is most stable, and which one is least stable? model two is the most stable of them, while model one is the least stable.

***

Model one:
VASP calculation (PBE-GGA) on crystalline CsEr2CuTe3Se at its relaxed geometry.

It has space group Cmcm (No. 63), with a = 4.302 Å, b = 15.234 Å, c = 15.484 Å, α = 90.00°, β = 90.00° and γ = 90.00°. The asymmetric unit holds Cs at (0.000, 0.117, 0.250), Er at (0.000, 0.377, 0.061), Cu at (0.000, 0.168, 0.750), Te at (0.000, 0.257, 0.604), Te at (0.000, 0.429, 0.250) and Se at (0.000, 0.000, 0.000).

The density comes out at 6.5 g cm⁻³.

***

Model two:
VASP calculation (PBE-GGA) on crystalline CsEr2CuTe3Se at its relaxed geometry.

It has space group Cmcm (No. 63), with a = 4.334 Å, b = 15.397 Å, c = 15.109 Å, α = 90.00°, β = 90.00° and γ = 90.00°. The asymmetric unit holds Cs at (0.000, 0.099, 0.250), Er at (0.000, 0.368, 0.072), Cu at (0.000, 0.162, 0.750), Te at (0.000, 0.000, 0.000), Te at (0.000, 0.263, 0.609) and Se at (0.000, 0.421, 0.250).

The density comes out at 6.5 g cm⁻³.

***

Which one is most stable, and which one is least stable? model two is the most stable of them, while model one is the least stable.